Computed, not measured: a PBEsol-optimized structure of Y2PRhI at the SCAN level of DFT.

Unit cell a=4.8010 b=5.3128 c=5.3128 alpha=90.00 beta=90.00 gamma=90.00
With the nearest neighbours (Å) after each atom.
Fractional coordinates of all 5 atoms:
1 I 0.5000 0.0000 0.0000  2 Rh 2.40
2 Y 0.0000 0.0000 0.5000  2 Rh 2.66
3 Y 0.0000 0.5000 0.0000  2 Rh 2.66
4 Rh 0.0000 0.0000 0.0000  2 I 2.40, 4 Y 2.66
5 P 0.5000 0.5000 0.5000  8 Y 3.58, 4 I 3.76

Values from the calculation:
The calculation puts the uncorrected formation energy at -0.22 eV/atom. For the density of states at the Fermi level, the calculation gives 2.4 states/eV/cell. The space group is P4/mmm. For the energy, the calculation gives -27.541 eV/atom. As for the total moment: 0.00 μB/atom.